A plane-wave DFT calculation with meta-GGA SCAN was carried out for a PBEsol-optimized structure of ZrZn2In.

Its formation energy is -2.29 kcal/mol of atoms. As for the crystal system: orthorhombic.

The structure belongs to space group Pmmm (No. 47); the cell edges are 3.071, 3.971 and 6.034 Å and the angles 90.00°, 90.00° and 90.00°. The asymmetric unit holds Zr at (0.000, 0.000, 0.000), Zn at (0.500, 0.500, 0.238) and In at (0.000, 0.000, 0.500).